Compound: ReBMo2I
Source: Alexandria via LeMat-Bulk
Functional: meta-GGA SCAN
Structure: PBEsol geometry Values from VASP.

Structure (Quantum ESPRESSO input):
```
&SYSTEM
  ibrav = 0, nat = 5, ntyp = 4
/
ATOMIC_SPECIES
I 126.90 I.upf
Re 186.21 Re.upf
Mo 95.94 Mo.upf
B 10.81 B.upf
CELL_PARAMETERS angstrom
-0.548 -1.709 3.732
4.236 0.309 0.763
-0.594 3.918 1.707
ATOMIC_POSITIONS angstrom
I 1.547 1.260 3.101
Re -0.274 -0.854 1.866
Mo -0.297 1.959 0.853
Mo 2.118 0.155 0.382
B 0.000 0.000 0.000
```

Computed properties:
Energy relative to the elements, uncorrected (eV/atom): 1.0486
Magnetic moment (μB per cell): 0.00
Total DFT energy (no corrections) (eV/atom): -35.959